Below is a relaxed structure of CaLa2TeP, with properties calculated at the PBE-GGA level.

Output
Electronic total energy (eV/atom): -4.959
ρ (kg/m3): 4744
Formation energy from raw total energies (kcal/mol of atoms): -20.223
M_tot (μB/cell): 0.00

a = 5.605 Å, b = 5.605 Å, c = 5.309 Å
α = 90.00°, β = 90.00°, γ = 90.00°
Space group P4/mmm (No. 123)
One atom of each set of equivalent atoms:
Ca 0.000 0.000 0.000 [1 per cell]
La 0.000 0.500 0.500 [2 per cell]
Te 0.500 0.500 0.000 [1 per cell]
P 0.000 0.000 0.500 [1 per cell]